[1]
DFT (PBE) results for K2In after structural relaxation.

Total moment, Bohr magnetons per cell: 0.00
ΔE to the lowest computed polymorph, meV per atom: 133
DOS at the Fermi energy, states/eV per cell: 4.0
Mass density, Mg/m³: 2.26
Space group: Cmcm (63)
DFT formation energy, eV/atom: 0.098

The structure in extended XYZ format:
```
6
Lattice="6.167 9.369 -1.075 -6.335 -8.859 -2.891 -5.268 3.546 0.679" Properties=species:S:1:pos:R:3 pbc="T T T"
K -8.478 -3.563 -2.120
K -4.858 1.714 -1.594
K -0.578 2.342 -1.694
K 3.042 7.619 -1.168
In -0.525 8.032 -0.964
In -4.911 -3.976 -2.323
```



[2]
DFT (PBE) results for KIn after structural relaxation.

Total moment, Bohr magnetons per cell: 0.00
DOS at the Fermi energy, states/eV per cell: 2.7
Mass density, Mg/m³: 2.95
Space group: P-3m1 (164)
DFT formation energy, eV/atom: 0.055

The structure in extended XYZ format:
```
4
Lattice="4.172 0.000 0.000 -2.086 3.613 0.000 0.000 0.000 11.500" Properties=species:S:1:pos:R:3 pbc="T T T"
In 0.000 0.000 0.457
In 2.086 1.204 2.418
K 0.000 0.000 5.114
K 2.086 1.204 9.261
```



[3]
DFT (PBE) results for KIn3 after structural relaxation.

Total moment, Bohr magnetons per cell: 0.00
DOS at the Fermi energy, states/eV per cell: 2.2
Mass density, Mg/m³: 4.85
Space group: Pmma (51)
DFT formation energy, eV/atom: -0.067

The structure in extended XYZ format:
```
8
Lattice="4.872 0.000 0.000 0.000 6.425 0.000 0.000 0.000 8.395" Properties=species:S:1:pos:R:3 pbc="T T T"
K 0.000 1.606 5.681
K 0.000 4.819 2.715
In 0.000 4.819 7.285
In 0.000 1.606 1.111
In 2.436 0.000 0.000
In 2.436 3.212 0.000
In 2.436 4.819 5.398
In 2.436 1.606 2.997
```



[4]
DFT (PBE) results for K2In after structural relaxation.

Total moment, Bohr magnetons per cell: 0.00
ΔE to the lowest computed polymorph, meV per atom: 0
DOS at the Fermi energy, states/eV per cell: 4.5
Mass density, Mg/m³: 2.23
Space group: C2/m (12)
DFT formation energy, eV/atom: -0.035

The structure in extended XYZ format:
```
6
Lattice="-6.977 1.870 -1.883 -6.966 1.444 2.262 -1.310 10.150 1.047" Properties=species:S:1:pos:R:3 pbc="T T T"
In -4.376 4.505 0.475
In -9.594 4.827 0.522
K -14.047 4.477 0.498
K -9.852 8.876 0.939
K -13.865 8.169 0.877
K -5.428 10.606 1.105
```



[5]
DFT (PBE) results for KIn3 after structural relaxation.

Total moment, Bohr magnetons per cell: 0.00
DOS at the Fermi energy, states/eV per cell: 1.9
Mass density, Mg/m³: 4.93
Space group: Pmm2 (25)
DFT formation energy, eV/atom: -0.032

The structure in extended XYZ format:
```
4
Lattice="-0.447 2.797 1.786 -1.700 -2.727 3.845 7.169 -0.604 2.741" Properties=species:S:1:pos:R:3 pbc="T T T"
In 6.972 -0.588 2.666
In 3.948 1.047 2.488
In 4.704 -0.452 5.024
K 1.348 -1.549 2.763
```



[6]
DFT (PBE) results for K2In after structural relaxation.

Total moment, Bohr magnetons per cell: 0.00
ΔE to the lowest computed polymorph, meV per atom: 9
DOS at the Fermi energy, states/eV per cell: 4.2
Mass density, Mg/m³: 2.22
Space group: Cmcm (63)
DFT formation energy, eV/atom: -0.027

The structure in extended XYZ format:
```
6
Lattice="-8.607 4.080 0.139 4.193 -8.281 -2.141 -0.663 -1.560 4.736" Properties=species:S:1:pos:R:3 pbc="T T T"
In 3.514 -8.175 -0.865
In -8.590 2.414 3.600
K -1.365 -3.464 0.004
K -3.712 -2.297 2.731
K -6.246 1.250 0.873
K 1.169 -7.011 1.861
```



Question: What is the mass density in the second record?
Answer: 2.95 Mg/m³